(1)
Here is a relaxed Tb5S5N crystal from Alexandria. Energies are from PBE.

Calculated values
**E**: -73.64 eV/cell
**Symmetry**: C2/m (12)

a = 5.4622 Å, b = 6.6894 Å, c = 7.6428 Å
α = 107.00°, β = 90.00°, γ = 114.10°
With the nearest neighbours (Å) after each atom.
Atoms (fractional coordinates):
Tb1 0.8504 0.7008 0.1586  1 N 2.49, 4 S 2.66-2.76
Tb2 0.8451 0.6901 0.6860  1 N 2.54, 4 S 2.71-2.75
Tb3 0.5000 0.0000 0.0000  4 S 2.73-2.74, 2 N 2.73
Tb4 0.1549 0.3099 0.3140  1 N 2.54, 4 S 2.71-2.75
Tb5 0.1496 0.2992 0.8414  1 N 2.49, 4 S 2.66-2.76
S1 0.6739 0.3477 0.3319  5 Tb 2.74-2.87
S2 0.6670 0.3340 0.8331  5 Tb 2.73-2.76
S3 0.0000 0.0000 0.5000  4 Tb 2.66-2.71
S4 0.3330 0.6660 0.1669  5 Tb 2.73-2.76
S5 0.3261 0.6523 0.6681  5 Tb 2.74-2.87
N1 0.0000 0.0000 0.0000  6 Tb 2.49-2.73

=====

(2)
Here is a relaxed Tb2SN crystal from Alexandria. Energies are from PBE.

Calculated values
**E**: -55.57 eV/cell
**Symmetry**: Pmn2_1 (31)
**Distance to the lowest polymorph of the same formula**: 334 meV per atom

a = 3.8787 Å, b = 5.8067 Å, c = 8.2511 Å
α = 90.00°, β = 90.00°, γ = 90.00°
With the nearest neighbours (Å) after each atom.
Atoms (fractional coordinates):
Tb1 0.7010 0.6580 0.1971  3 N 2.31-2.32
Tb2 0.7009 0.5398 0.7543  1 N 2.24
Tb3 0.2011 0.0398 0.4616  1 N 2.24
Tb4 0.2010 0.1580 0.0188  3 N 2.31-2.32
S1 0.2009 0.8623 0.7665  4 Tb 2.70-2.72
S2 0.7011 0.3622 0.4495  4 Tb 2.70-2.72
N1 0.2010 0.8734 0.2164  4 Tb 2.24-2.32
N2 0.7010 0.3734 0.9995  4 Tb 2.24-2.32

=====

(3)
Here is a relaxed Tb8Te4S3N crystal from Alexandria. Energies are from PBE.

Calculated values
**E**: -95.94 eV/cell
**Symmetry**: R-3m (166)

a = 8.0565 Å, b = 8.3697 Å, c = 8.0554 Å
α = 118.77°, β = 120.00°, γ = 90.00°
With the nearest neighbours (Å) after each atom.
Atoms (fractional coordinates):
Tb1 0.2188 0.6945 0.9756  1 N 2.54, 2 S 2.77
Tb2 0.2189 0.6945 0.4378  1 N 2.54, 2 S 2.77
Tb3 0.2653 0.2959 0.5306  3 S 2.72-2.73
Tb4 0.7568 0.6945 0.9756  1 N 2.54, 2 S 2.77
Tb5 0.2432 0.3055 0.0244  1 N 2.54, 2 S 2.77
Tb6 0.7347 0.7041 0.4694  3 S 2.72-2.73
Tb7 0.7811 0.3055 0.5622  1 N 2.54, 2 S 2.77
Tb8 0.7812 0.3055 0.0244  1 N 2.54, 2 S 2.77
Te1 0.5000 0.0000 0.0000  6 Tb 3.28
Te2 0.5000 0.0000 0.5000  6 Tb 3.09-3.11
Te3 0.0000 0.0000 0.0000  6 Tb 3.09-3.11
Te4 0.0000 0.0000 0.5000  6 Tb 3.09-3.11
S1 0.5000 0.5000 0.0000  6 Tb 2.72-2.77
S2 0.5000 0.5000 0.5000  6 Tb 2.73-2.77
S3 0.0000 0.5000 0.5000  6 Tb 2.73-2.77
N1 0.0000 0.5000 0.0000  6 Tb 2.54

=====

(4)
Here is a relaxed Tb8Te3S3N crystal from Alexandria. Energies are from PBE.

Calculated values
**E**: -89.61 eV/cell
**Symmetry**: C2/m (12)

a = 7.9944 Å, b = 7.9845 Å, c = 8.3796 Å
α = 118.42°, β = 90.01°, γ = 120.01°
With the nearest neighbours (Å) after each atom.
Atoms (fractional coordinates):
Tb1 0.2667 0.5334 0.2999  3 S 2.70
Tb2 0.7333 0.4666 0.7001  3 S 2.70
Tb3 0.7855 0.5710 0.3077  1 N 2.48
Tb4 0.2145 0.4290 0.6923  1 N 2.48
Tb5 0.7856 0.0222 0.3079  1 N 2.48, 1 S 2.77
Tb6 0.2144 0.9778 0.6921  1 N 2.48, 1 S 2.77
Tb7 0.2365 0.0222 0.3079  1 N 2.48
Tb8 0.7635 0.9778 0.6921  1 N 2.48
Te1 0.0000 0.0000 0.0000  6 Tb 3.08-3.12
Te2 0.0000 0.5000 0.0000  6 Tb 3.08-3.12
Te3 0.5000 0.5000 0.0000  6 Tb 3.08-3.12
S1 0.5000 0.0000 0.5000  6 Tb 2.70-2.78
S2 0.5000 0.5000 0.5000  6 Tb 2.70-2.78
S3 0.0000 0.5000 0.5000  6 Tb 2.70-2.77
N1 0.0000 0.0000 0.5000  6 Tb 2.48

=====

(5)
Here is a relaxed TbThS2N crystal from Alexandria. Energies are from PBE.

Calculated values
**E**: -76.86 eV/cell
**Symmetry**: P4/nmm (129)

a = 3.9674 Å, b = 3.9674 Å, c = 14.0194 Å
α = 90.00°, β = 90.00°, γ = 90.00°
With the nearest neighbours (Å) after each atom.
Atoms (fractional coordinates):
Tb1 0.5000 0.0000 0.1179  5 S 2.55-2.83
Tb2 0.0000 0.5000 0.8821  5 S 2.55-2.83
Th1 0.5000 0.0000 0.5878  4 N 2.33
Th2 0.0000 0.5000 0.4122  4 N 2.33
S1 0.0000 0.5000 0.7003  1 Tb 2.55
S2 0.0000 0.5000 0.0917  5 Tb 2.83-2.94
S3 0.5000 0.0000 0.9083  5 Tb 2.83-2.94
S4 0.5000 0.0000 0.2997  1 Tb 2.55
N1 0.0000 0.0000 0.5000  4 Th 2.33
N2 0.5000 0.5000 0.5000  4 Th 2.33

=====

(6)
Here is a relaxed TbUS2N crystal from Alexandria. Energies are from PBE.

Calculated values
**E**: -82.58 eV/cell
**Symmetry**: P4/nmm (129)

a = 3.8222 Å, b = 3.8222 Å, c = 13.8663 Å
α = 90.00°, β = 90.00°, γ = 90.00°
With the nearest neighbours (Å) after each atom.
Atoms (fractional coordinates):
Tb1 0.5000 0.0000 0.1203  6 S 2.63-2.93
Tb2 0.0000 0.5000 0.8797  6 S 2.63-2.93
U1 0.5000 0.0000 0.5856  4 N 2.25
U2 0.0000 0.5000 0.4144  4 N 2.25
S1 0.0000 0.5000 0.6899  1 Tb 2.63
S2 0.0000 0.5000 0.0912  5 Tb 2.73-2.93
S3 0.5000 0.0000 0.9088  5 Tb 2.73-2.93
S4 0.5000 0.0000 0.3101  1 Tb 2.63
N1 0.0000 0.0000 0.5000  4 U 2.25
N2 0.5000 0.5000 0.5000  4 U 2.25

=====

- Which formula does entry 1 have?
  Tb5S5N

=====

- What is the E in the fifth record?
  -76.86 eV/cell

=====

- Which value of E does entry 2 give?
  -55.57 eV/cell

=====

- Which of these has the lowest E?
  Tb8Te4S3N